[1]
The following is a DFT calculation (GGA-PBE) of crystalline Ga8BIr4 at its relaxed geometry.

The value obtained for the total energy is -575.97 eV for the cell shown. The total magnetization is 0.00 μB/f.u.

It has space group I4_1/acd (No. 142, origin choice 2), with a = 8.6206 Å, b = 8.6206 Å, c = 21.2642 Å, α = 90.00°, β = 90.00° and γ = 90.00°. The inequivalent atoms are Ga at (0.0614, 0.0357, 0.3120), Ga at (0.0649, 0.0340, 0.4410), B at (0.0000, 0.2500, 0.1250), Ir at (0.0000, 0.2500, 0.0230) and Ir at (0.1758, 0.0742, 0.6250).

[2]
The following is a DFT calculation (GGA-PBE) of crystalline GaB2Ir at its relaxed geometry.

The value obtained for the total energy is -81.67 eV for the cell shown. The total magnetization is 0.00 μB/f.u.

It has space group F-43m (No. 216), with a = 5.6824 Å, b = 5.6824 Å, c = 5.6824 Å, α = 90.00°, β = 90.00° and γ = 90.00°. The inequivalent atoms are Ga at (0.0000, 0.0000, 0.0000), B at (0.0000, 0.0000, 0.5000), B at (0.2500, 0.2500, 0.7500) and Ir at (0.2500, 0.2500, 0.2500).